## Al2SbOs (GGA-PBE)

Data for a geometry-optimized Al2SbOs structure.

Cell: 5.199 5.199 5.199 Å, 142.85 123.60 69.48°
Atoms (fractional coordinates):
Al (0.017, 0.017, 0.000)
Al (0.483, 0.483, 0.000)
Sb (0.750, 0.250, 0.500)
Os (0.250, 0.750, 0.500)

Results
crystal system: orthorhombic
total magnetization: 0.000 μB per cell
symmetry: Immm (71)
calculated density: 8.7 g/cm³
energy relative to the elements, uncorrected: 4.93 kcal/mol of atoms